(1)
The following is a DFT calculation (PBE) of an optimized crystal structure of Er2CdC.

Unit cell a=3.5510 b=3.5510 c=24.3042 alpha=90.00 beta=90.00 gamma=120.00
With the nearest neighbours (Å) after each atom.
Space group R-3m (No. 166, hexagonal axes)
Asymmetric unit:
Er 0.0000 0.0000 0.2216 (multiplicity 6)  3 C 2.45
Cd 0.0000 0.0000 0.0000 (multiplicity 3)  6 Er 3.40, 6 Cd 3.55
C 0.0000 0.0000 0.5000 (multiplicity 3)  6 Er 2.45

Results
The total magnetization comes out at 0.1825 μB/atom. The calculation puts the electronic total energy at -5.15 eV/atom. The calculation puts the calculated formation energy at -1.32 eV per formula unit.

***

(2)
The following is a DFT calculation (PBE) of an optimized crystal structure of La2MgI2.

Unit cell a=9.1659 b=9.1659 c=3.9947 alpha=90.00 beta=90.00 gamma=90.00
With the nearest neighbours (Å) after each atom.
Space group P4/mbm (No. 127)
Asymmetric unit:
La 0.1584 0.3416 0.0000 (multiplicity 4)  6 I 3.34-3.36, 2 Mg 3.45
Mg 0.0000 0.0000 0.0000 (multiplicity 2)  4 La 3.45
I 0.1355 0.6355 0.5000 (multiplicity 4)  6 La 3.34-3.36, 1 I 3.51

Results
The energy above the most stable polymorph in this dataset comes out at 0.0 meV per atom. The total magnetization comes out at 0.0000 μB/atom. For the energy relative to the elements, uncorrected, the calculation gives -570 meV/atom. The calculation puts the electronic total energy at -3.48 eV/atom.

***

(3)
The following is a DFT calculation (PBE) of an optimized crystal structure of Tb5TmMg3.

Unit cell a=9.3626 b=9.3626 c=6.9159 alpha=90.00 beta=90.00 gamma=120.00
With the nearest neighbours (Å) after each atom.
Space group P6_3/mcm (No. 193)
Asymmetric unit:
Tb 0.0000 0.3314 0.2500 (multiplicity 6)  5 Mg 3.11-3.46
Tb 0.3333 0.6667 0.0000 (multiplicity 4)  8 Tb 3.46-3.58, 6 Mg 3.57
Tm 0.0000 0.0000 0.0000 (multiplicity 2)  2 Tm 3.46, 6 Tb 3.55, 6 Mg 3.57
Mg 0.0000 0.3331 0.7500 (multiplicity 6)  5 Tb 3.11-3.46

Results
The total magnetization comes out at 0.0000 μB/atom. The calculation puts the electronic total energy at -3.60 eV/atom. The calculation puts the calculated formation energy at 0.04 eV per formula unit.

***

(4)
The following is a DFT calculation (PBE) of an optimized crystal structure of MgBeSe2N.

Unit cell a=5.1181 b=5.1181 c=3.1150 alpha=90.00 beta=90.00 gamma=90.00
With the nearest neighbours (Å) after each atom.
Space group P4/mmm (No. 123)
Asymmetric unit:
Mg 0.0000 0.0000 0.0000 (multiplicity 1)  8 Se 3.00, 2 Mg 3.11
Be 0.5000 0.5000 0.5000 (multiplicity 1)  2 N 1.56
Se 0.0000 0.5000 0.5000 (multiplicity 2)  2 Be 2.56
N 0.5000 0.5000 0.0000 (multiplicity 1)  2 Be 1.56

Results
The energy above the most stable polymorph in this dataset comes out at 0.0 meV per atom. The total magnetization comes out at 0.1449 μB/atom. For the energy relative to the elements, uncorrected, the calculation gives 81 meV/atom. The calculation puts the electronic total energy at -4.04 eV/atom.

***

(5)
The following is a DFT calculation (PBE) of an optimized crystal structure of NpSnSbAu.

Unit cell a=7.3456 b=7.3456 c=7.3456 alpha=90.00 beta=90.00 gamma=90.00
With the nearest neighbours (Å) after each atom.
Space group F-43m (No. 216)
Asymmetric unit:
Np 0.0000 0.0000 0.0000 (multiplicity 4)  4 Au 3.18, 4 Sb 3.18
Sn 0.0000 0.0000 0.5000 (multiplicity 4)  4 Sb 3.18, 4 Au 3.18
Sb 0.2500 0.2500 0.2500 (multiplicity 4)  4 Np 3.18, 4 Sn 3.18
Au 0.2500 0.2500 0.7500 (multiplicity 4)  4 Sn 3.18, 4 Np 3.18

Results
The energy above the most stable polymorph in this dataset comes out at 176.4 meV per atom. The total magnetization comes out at 1.0442 μB/atom. For the energy relative to the elements, uncorrected, the calculation gives -37 meV/atom. The calculation puts the electronic total energy at -6.12 eV/atom.

***

(6)
The following is a DFT calculation (PBE) of an optimized crystal structure of HfZrBi2.

Unit cell a=4.0550 b=4.0550 c=22.5175 alpha=90.00 beta=90.00 gamma=120.00
With the nearest neighbours (Å) after each atom.
Space group R3m (No. 160, hexagonal axes)
Asymmetric unit:
Hf 0.0000 0.0000 0.0000 (multiplicity 3)  6 Bi 2.97-3.03
Zr 0.0000 0.0000 0.1708 (multiplicity 3)  6 Bi 2.97-3.03
Bi 0.0000 0.0000 0.5856 (multiplicity 3)  3 Hf 2.97, 3 Zr 2.97
Bi 0.0000 0.0000 0.7519 (multiplicity 3)  3 Hf 3.03, 3 Zr 3.03

Results
The energy above the most stable polymorph in this dataset comes out at 15.1 meV per atom. The total magnetization comes out at 0.0000 μB/atom. The calculation puts the electronic total energy at -6.66 eV/atom. The calculation puts the calculated formation energy at -0.36 eV per formula unit.